(1)
BaTlPb2Se4: relaxed, PBE.

Results
symmetry = Cmcm, No. 63
DFT total energy = -0.29104 Ry per atom

a b c (Å): 7.848 7.848 15.292
angles (deg): 90.00 90.00 146.33
Atoms (fractional coordinates):
Ba 0.132 0.868 0.750
Ba 0.868 0.132 0.250
Tl 0.139 0.861 0.250
Tl 0.861 0.139 0.750
Pb 0.375 0.625 0.547
Pb 0.375 0.625 0.953
Pb 0.625 0.375 0.047
Pb 0.625 0.375 0.453
Se 0.000 0.000 0.000
Se 0.000 0.000 0.500
Se 0.269 0.731 0.115
Se 0.269 0.731 0.385
Se 0.471 0.529 0.750
Se 0.529 0.471 0.250
Se 0.731 0.269 0.615
Se 0.731 0.269 0.885

(2)
BaTlPbSe3: relaxed, PBE.

Results
symmetry = P2_1/m, No. 11
DFT total energy = -0.28959 Ry per atom

a b c (Å): 9.129 4.539 10.505
angles (deg): 90.00 99.66 90.00
Atoms (fractional coordinates):
Ba 0.173 0.250 0.198
Ba 0.827 0.750 0.802
Tl 0.128 0.250 0.603
Tl 0.872 0.750 0.397
Pb 0.349 0.750 0.875
Pb 0.651 0.250 0.125
Se 0.105 0.250 0.877
Se 0.208 0.750 0.455
Se 0.421 0.750 0.146
Se 0.579 0.250 0.854
Se 0.792 0.250 0.545
Se 0.895 0.750 0.123

(3)
Ba2UPbSe5: relaxed, PBE.

Results
symmetry = Cmc2_1, No. 36
DFT total energy = -0.39740 Ry per atom

a b c (Å): 9.592 9.592 14.684
angles (deg): 90.00 90.00 153.35
Atoms (fractional coordinates):
Ba 0.087 0.913 0.500
Ba 0.136 0.864 0.143
Ba 0.864 0.136 0.643
Ba 0.913 0.087 0.000
U 0.225 0.775 0.870
U 0.775 0.225 0.370
Pb 0.454 0.546 0.291
Pb 0.546 0.454 0.791
Se 0.080 0.920 0.916
Se 0.264 0.736 0.499
Se 0.298 0.702 0.246
Se 0.373 0.627 0.831
Se 0.491 0.509 0.603
Se 0.509 0.491 0.103
Se 0.627 0.373 0.331
Se 0.702 0.298 0.746
Se 0.736 0.264 0.999
Se 0.920 0.080 0.416

(4)
Ba2UPbSe6: relaxed, PBE.

Results
symmetry = P2_1/c, No. 14
DFT total energy = -0.39069 Ry per atom

a b c (Å): 7.462 8.061 13.112
angles (deg): 90.00 123.98 90.00
Atoms (fractional coordinates):
Ba 0.218 0.084 0.248
Ba 0.218 0.416 0.748
Ba 0.782 0.584 0.252
Ba 0.782 0.916 0.752
U 0.500 0.000 0.000
U 0.500 0.500 0.500
Pb 0.000 0.000 0.500
Pb 0.000 0.500 0.000
Se 0.154 0.179 0.951
Se 0.154 0.321 0.451
Se 0.273 0.712 0.944
Se 0.273 0.788 0.444
Se 0.371 0.028 0.764
Se 0.371 0.472 0.264
Se 0.629 0.528 0.736
Se 0.629 0.972 0.236
Se 0.727 0.212 0.556
Se 0.727 0.288 0.056
Se 0.846 0.679 0.549
Se 0.846 0.821 0.049

(5)
BaPbWSe2: relaxed, PBE.

Results
symmetry = P4/mmm, No. 123
DFT total energy = -0.28217 Ry per atom

a b c (Å): 5.510 5.510 6.498
angles (deg): 90.00 90.00 90.00
Atoms (fractional coordinates):
Ba 0.000 0.000 0.000
Pb 0.000 0.000 0.500
W 0.500 0.500 0.000
Se 0.000 0.500 0.500
Se 0.500 0.000 0.500

(6)
Ba3Si2Pb2: relaxed, PBE.

Results
symmetry = C2/m, No. 12
DFT total energy = -0.28094 Ry per atom

a b c (Å): 12.723 4.661 9.572
angles (deg): 90.00 119.59 90.00
Atoms (fractional coordinates):
Ba 0.000 0.000 0.000
Ba 0.180 0.000 0.652
Ba 0.320 0.500 0.348
Ba 0.500 0.500 0.000
Ba 0.680 0.500 0.652
Ba 0.820 0.000 0.348
Si 0.204 0.500 0.954
Si 0.296 0.000 0.046
Si 0.704 0.000 0.954
Si 0.796 0.500 0.046
Pb 0.023 0.500 0.311
Pb 0.477 0.000 0.689
Pb 0.523 0.000 0.311
Pb 0.977 0.500 0.689

Q: Number 4 is which compound?
A: Ba2UPbSe6